ErAl4GaCo (PBE-GGA, relaxed); V = 17.02 Å³ per atom; electronic total energy = -0.174 hartree per atom; SG = No. 123
1.0
4.173 0.000 0.000
0.000 4.173 0.000
0.000 0.000 6.841
Er Al Ga Co
1 4 1 1
direct
0.000 0.000 0.000
0.000 0.500 0.311
0.000 0.500 0.689
0.500 0.000 0.311
0.500 0.000 0.689
0.500 0.500 0.000
0.000 0.000 0.500